NdGa5Cu2Ag, relaxed, DFT GGA-PBE; D(E_F) = 4.73 states/eV/f.u.; theoretical density = 6.5 Mg/m³; volume = 186 Å³ per cell; ΔH_f (0 K) = -33 meV per atom
1.0
-1.947 -3.842 0.027
2.390 -1.187 3.381
-7.016 3.598 6.222
Nd Ga Cu Ag
1 5 2 1
Direct
0.000 0.000 0.500
0.000 0.500 0.166
0.500 0.000 0.166
0.000 0.500 0.834
0.500 0.000 0.834
0.500 0.500 0.500
0.500 0.500 0.275
0.500 0.500 0.725
0.000 0.000 0.000

---

Th2CuHg, relaxed, DFT GGA-PBE; D(E_F) = 3.34 states/eV/f.u.; theoretical density = 12.0 Mg/m³; volume = 100 Å³ per cell; ΔH_f (0 K) = -133 meV per atom
1.0
3.414 0.000 0.000
0.000 3.414 0.000
0.000 0.000 8.616
Cu Hg Th
1 1 2
Direct
0.500 0.500 0.000
0.500 0.500 0.500
0.000 0.000 0.776
0.000 0.000 0.224

---

Pm5Pr4Er2, relaxed, DFT GGA-PBE; D(E_F) = 14.31 states/eV/f.u.; theoretical density = 6.9 Mg/m³; volume = 389 Å³ per cell; ΔH_f (0 K) = 200 meV per atom
1.0
-2.715 -1.736 1.572
3.997 -10.108 -4.261
4.526 4.749 8.974
Pm Pr Er
5 4 2
Direct
0.180 0.470 0.359
0.820 0.530 0.641
0.180 0.889 0.359
0.500 0.000 0.000
0.820 0.111 0.641
0.590 0.590 0.181
0.000 0.259 0.000
0.410 0.410 0.819
0.000 0.741 0.000
0.795 0.795 0.591
0.205 0.205 0.409

---

TmMnFe10, relaxed, DFT GGA-PBE; D(E_F) = 10.60 states/eV/f.u.; theoretical density = 8.1 Mg/m³; volume = 160 Å³ per cell; ΔH_f (0 K) = 135 meV per atom
1.0
3.975 0.000 0.000
0.000 4.815 0.000
0.000 0.000 8.347
Tm Mn Fe
1 1 10
Direct
0.000 0.000 0.000
0.000 0.500 0.500
0.000 0.000 0.342
0.000 0.500 0.823
0.000 0.500 0.177
0.000 0.000 0.658
0.500 0.000 0.500
0.500 0.500 0.000
0.500 0.252 0.256
0.500 0.748 0.744
0.500 0.748 0.256
0.500 0.252 0.744

---

AcBO2, relaxed, DFT GGA-PBE; D(E_F) = 1.53 states/eV/f.u.; theoretical density = 8.4 Mg/m³; volume = 53 Å³ per cell; formation energy from raw total energies = -0.1416 eV per atom
1.0
-0.770 2.927 -0.217
-2.428 0.814 -1.629
-4.913 0.637 4.813
Ac B O
1 1 2
Direct
0.000 0.000 0.000
0.500 0.500 0.500
0.125 0.125 0.624
0.875 0.875 0.376

---

ZnCd5Ag, relaxed, DFT GGA-PBE; D(E_F) = 1.70 states/eV/f.u.; theoretical density = 7.7 Mg/m³; volume = 316 Å³ per cell; ΔH_f (0 K) = 83 meV per atom
1.0
-2.721 2.268 7.302
-6.237 -4.367 -2.809
6.486 -2.876 -0.079
Zn Cd Ag
2 10 2
Direct
0.000 0.000 0.000
0.500 0.000 0.500
0.923 0.326 0.038
0.152 0.796 0.620
0.211 0.115 0.538
0.430 0.180 0.250
0.677 0.532 0.880
0.323 0.468 0.120
0.570 0.820 0.750
0.789 0.885 0.462
0.848 0.204 0.380
0.077 0.674 0.962
0.702 0.452 0.250
0.298 0.548 0.750

---

KAlPb, relaxed, DFT GGA-PBE; D(E_F) = 0.96 states/eV/f.u.; theoretical density = 5.0 Mg/m³; volume = 91 Å³ per cell; ΔH_f (0 K) = 134 meV per atom
1.0
5.183 0.000 0.000
-2.591 4.488 0.000
0.000 0.000 3.919
Pb K Al
1 1 1
Direct
0.333 0.667 0.796
0.667 0.333 0.332
0.000 0.000 0.871

---

Nd2ZrPaN4, relaxed, DFT GGA-PBE; D(E_F) = 3.54 states/eV/f.u.; theoretical density = 9.1 Mg/m³; volume = 122 Å³ per cell; formation energy from raw total energies = -1.5710 eV per atom
1.0
3.495 0.000 0.000
0.000 6.004 0.113
0.000 -2.091 5.769
Nd Zr Pa N
2 1 1 4
Direct
0.500 0.000 0.500
0.000 0.500 0.500
0.000 0.000 0.000
0.500 0.500 0.000
0.500 0.237 0.211
0.500 0.763 0.789
0.000 0.257 0.787
0.000 0.743 0.213

---

TcNiIr2, relaxed, DFT GGA-PBE; D(E_F) = 8.55 states/eV/f.u.; theoretical density = 16.0 Mg/m³; volume = 56 Å³ per cell; ΔH_f (0 K) = 311 meV per atom
1.0
4.298 0.000 0.000
2.149 3.722 0.000
2.149 1.241 3.509
Ir Ni Tc
2 1 1
Direct
0.000 0.000 0.000
0.750 0.750 0.750
0.500 0.500 0.500
0.250 0.250 0.250

---

PH2Br, relaxed, DFT GGA-PBE; D(E_F) = 0.00 states/eV/f.u.; theoretical density = 2.4 Mg/m³; raw total energy = -3.61 eV/atom; volume = 311 Å³ per cell
1.0
6.723 0.000 0.000
0.000 3.817 -2.447
0.000 -3.645 14.437
P H Br
4 8 4
Direct
0.250 0.539 0.637
0.750 0.461 0.363
0.250 0.961 0.863
0.750 0.039 0.137
0.091 0.741 0.857
0.909 0.259 0.143
0.091 0.759 0.643
0.909 0.241 0.357
0.591 0.259 0.143
0.409 0.741 0.857
0.591 0.241 0.357
0.409 0.759 0.643
0.250 0.941 0.407
0.750 0.059 0.593
0.250 0.559 0.093
0.750 0.441 0.907